1.
Material: TlNiBi
Method: DFT, PBE
State: relaxed

abc: 4.6076 4.6076 7.4973
angles: 90.00 90.00 90.00
Atoms (fractional coordinates):
Tl1 0.2500 0.2500 0.1761
Tl2 0.7500 0.7500 0.8239
Ni1 0.2500 0.7500 0.5000
Ni2 0.7500 0.2500 0.5000
Bi1 0.2500 0.2500 0.6720
Bi2 0.7500 0.7500 0.3280

Properties
**DOS at the Fermi energy**: 0.509 states/eV/atom
**Crystal system**: tetragonal
**Final energy**: -3.918 eV/atom
**Energy of formation from the pure elements**: 0.0911 eV per atom

2.
Material: TlNiBi2
Method: DFT, PBE
State: relaxed

abc: 3.3184 3.3184 9.4800
angles: 90.00 90.00 90.00
Atoms (fractional coordinates):
Tl1 0.0000 0.0000 0.0000
Ni1 0.0000 0.0000 0.5000
Bi1 0.5000 0.5000 0.3195
Bi2 0.5000 0.5000 0.6805

Properties
**DOS at the Fermi energy**: 0.403 states/eV/atom
**Offset from the most stable computed form**: 49 meV per atom
**Crystal system**: tetragonal
**Final energy**: -3.919 eV/atom
**Energy of formation from the pure elements**: 0.0580 eV per atom

3.
Material: Tl3NiBi
Method: DFT, PBE
State: relaxed

abc: 5.1898 5.1898 5.1898
angles: 90.00 90.00 90.00
Atoms (fractional coordinates):
Tl1 0.0000 0.0000 0.5000
Tl2 0.0000 0.5000 0.0000
Tl3 0.5000 0.0000 0.0000
Ni1 0.0000 0.0000 0.0000
Bi1 0.5000 0.5000 0.5000

Properties
**DOS at the Fermi energy**: 1.244 states/eV/atom
**Offset from the most stable computed form**: 0 meV per atom
**Crystal system**: cubic
**Final energy**: -3.181 eV/atom
**Energy of formation from the pure elements**: 0.1715 eV per atom

4.
Material: TlNiBi2
Method: DFT, PBE
State: relaxed

abc: 3.5318 3.5318 31.4256
angles: 90.00 90.00 120.00
Atoms (fractional coordinates):
Tl1 0.0000 0.0000 0.0000
Tl2 0.3333 0.6667 0.6667
Tl3 0.6667 0.3333 0.3333
Ni1 0.0000 0.0000 0.5000
Ni2 0.3333 0.6667 0.1667
Ni3 0.6667 0.3333 0.8333
Bi1 0.0000 0.0000 0.1103
Bi2 0.0000 0.0000 0.8897
Bi3 0.3333 0.6667 0.5563
Bi4 0.3333 0.6667 0.7770
Bi5 0.6667 0.3333 0.2230
Bi6 0.6667 0.3333 0.4437

Properties
**DOS at the Fermi energy**: 0.555 states/eV/atom
**Offset from the most stable computed form**: 80 meV per atom
**Crystal system**: trigonal
**Final energy**: -3.889 eV/atom
**Energy of formation from the pure elements**: 0.0881 eV per atom

5.
Material: Tl2NiBi
Method: DFT, PBE
State: relaxed

abc: 7.4020 7.4020 7.4020
angles: 90.00 90.00 90.00
Atoms (fractional coordinates):
Tl1 0.2500 0.2500 0.2500
Tl2 0.2500 0.2500 0.7500
Tl3 0.2500 0.7500 0.2500
Tl4 0.2500 0.7500 0.7500
Tl5 0.7500 0.2500 0.2500
Tl6 0.7500 0.2500 0.7500
Tl7 0.7500 0.7500 0.2500
Tl8 0.7500 0.7500 0.7500
Ni1 0.0000 0.0000 0.0000
Ni2 0.0000 0.5000 0.5000
Ni3 0.5000 0.0000 0.5000
Ni4 0.5000 0.5000 0.0000
Bi1 0.0000 0.0000 0.5000
Bi2 0.0000 0.5000 0.0000
Bi3 0.5000 0.0000 0.0000
Bi4 0.5000 0.5000 0.5000

Properties
**DOS at the Fermi energy**: 1.087 states/eV/atom
**Offset from the most stable computed form**: 43 meV per atom
**Crystal system**: cubic
**Final energy**: -3.127 eV/atom
**Energy of formation from the pure elements**: 0.4717 eV per atom

6.
Material: TlNi3Bi
Method: DFT, PBE
State: relaxed

abc: 4.8763 4.8763 4.8763
angles: 90.00 90.00 90.00
Atoms (fractional coordinates):
Tl1 0.0000 0.0000 0.0000
Ni1 0.0000 0.5000 0.5000
Ni2 0.5000 0.0000 0.5000
Ni3 0.5000 0.5000 0.0000
Bi1 0.5000 0.5000 0.5000

Properties
**DOS at the Fermi energy**: 4.385 states/eV/atom
**Offset from the most stable computed form**: 0 meV per atom
**Crystal system**: cubic
**Final energy**: -3.797 eV/atom
**Energy of formation from the pure elements**: 0.9217 eV per atom

7.
Material: TlNiBi2
Method: DFT, PBE
State: relaxed

abc: 6.2721 6.2721 13.6498
angles: 90.00 90.00 90.00
Atoms (fractional coordinates):
Tl1 0.0000 0.0000 0.0000
Tl2 0.0000 0.5000 0.2500
Tl3 0.5000 0.0000 0.7500
Tl4 0.5000 0.5000 0.5000
Ni1 0.0000 0.0000 0.5000
Ni2 0.0000 0.5000 0.7500
Ni3 0.5000 0.0000 0.2500
Ni4 0.5000 0.5000 0.0000
Bi1 0.1626 0.2500 0.6250
Bi2 0.2500 0.6626 0.8750
Bi3 0.2500 0.8374 0.3750
Bi4 0.3374 0.2500 0.1250
Bi5 0.6626 0.7500 0.1250
Bi6 0.7500 0.1626 0.3750
Bi7 0.7500 0.3374 0.8750
Bi8 0.8374 0.7500 0.6250

Properties
**DOS at the Fermi energy**: 0.676 states/eV/atom
**Offset from the most stable computed form**: 246 meV per atom
**Crystal system**: tetragonal
**Final energy**: -3.723 eV/atom
**Energy of formation from the pure elements**: 0.2548 eV per atom

8.
Material: TlNiBi3
Method: DFT, PBE
State: relaxed

abc: 5.7940 5.7940 5.7940
angles: 90.00 90.00 90.00
Atoms (fractional coordinates):
Tl1 0.0000 0.0000 0.0000
Ni1 0.5000 0.5000 0.5000
Bi1 0.0000 0.0000 0.5000
Bi2 0.0000 0.5000 0.0000
Bi3 0.5000 0.0000 0.0000

Properties
**DOS at the Fermi energy**: 1.473 states/eV/atom
**Offset from the most stable computed form**: 1129 meV per atom
**Crystal system**: cubic
**Final energy**: -2.593 eV/atom
**Energy of formation from the pure elements**: 1.3652 eV per atom

9.
Material: Tl2NiBi
Method: DFT, PBE
State: relaxed

abc: 4.9743 4.9743 18.0740
angles: 90.00 90.00 90.00
Atoms (fractional coordinates):
Tl1 0.1698 0.2500 0.1250
Tl2 0.2500 0.6698 0.3750
Tl3 0.2500 0.8302 0.8750
Tl4 0.3302 0.2500 0.6250
Tl5 0.6698 0.7500 0.6250
Tl6 0.7500 0.1698 0.8750
Tl7 0.7500 0.3302 0.3750
Tl8 0.8302 0.7500 0.1250
Ni1 0.0000 0.0000 0.0000
Ni2 0.0000 0.5000 0.2500
Ni3 0.5000 0.0000 0.7500
Ni4 0.5000 0.5000 0.5000
Bi1 0.0000 0.0000 0.5000
Bi2 0.0000 0.5000 0.7500
Bi3 0.5000 0.0000 0.2500
Bi4 0.5000 0.5000 0.0000

Properties
**DOS at the Fermi energy**: 0.706 states/eV/atom
**Offset from the most stable computed form**: 0 meV per atom
**Crystal system**: tetragonal
**Final energy**: -3.170 eV/atom
**Energy of formation from the pure elements**: 0.4284 eV per atom

10.
Material: Tm6NiBi3
Method: DFT, PBE
State: relaxed

abc: 9.7855 9.7855 6.4679
angles: 90.00 90.00 111.56
Atoms (fractional coordinates):
Tm1 0.0138 0.9862 0.5000
Tm2 0.1017 0.5815 0.0803
Tm3 0.2162 0.3642 0.7412
Tm4 0.2332 0.7668 0.5670
Tm5 0.3642 0.2162 0.2412
Tm6 0.4185 0.8983 0.0803
Tm7 0.5815 0.1017 0.5803
Tm8 0.6358 0.7838 0.7412
Tm9 0.7668 0.2332 0.0670
Tm10 0.7838 0.6358 0.2412
Tm11 0.8983 0.4185 0.5803
Tm12 0.9862 0.0138 0.0000
Ni1 0.1411 0.8589 0.2252
Ni2 0.8589 0.1411 0.7252
Bi1 0.0841 0.2907 0.2913
Bi2 0.2907 0.0841 0.7913
Bi3 0.4307 0.5693 0.0831
Bi4 0.5693 0.4307 0.5831
Bi5 0.7093 0.9159 0.2913
Bi6 0.9159 0.7093 0.7913

Properties
**DOS at the Fermi energy**: 0.612 states/eV/atom
**Crystal system**: orthorhombic
**Final energy**: -4.791 eV/atom
**Energy of formation from the pure elements**: -0.3656 eV per atom

11.
Material: Tm12Ni6Bi
Method: DFT, PBE
State: relaxed

abc: 8.3237 8.3237 8.3237
angles: 109.47 109.47 109.47
Atoms (fractional coordinates):
Tm1 0.1175 0.3063 0.8112
Tm2 0.1888 0.4951 0.3063
Tm3 0.1888 0.8825 0.6937
Tm4 0.3063 0.1888 0.4951
Tm5 0.3063 0.8112 0.1175
Tm6 0.4951 0.3063 0.1888
Tm7 0.5049 0.6937 0.8112
Tm8 0.6937 0.1888 0.8825
Tm9 0.6937 0.8112 0.5049
Tm10 0.8112 0.1175 0.3063
Tm11 0.8112 0.5049 0.6937
Tm12 0.8825 0.6937 0.1888
Ni1 0.1241 0.5000 0.6241
Ni2 0.3759 0.8759 0.5000
Ni3 0.5000 0.3759 0.8759
Ni4 0.5000 0.6241 0.1241
Ni5 0.6241 0.1241 0.5000
Ni6 0.8759 0.5000 0.3759
Bi1 0.0000 0.0000 0.0000

Properties
**DOS at the Fermi energy**: 1.210 states/eV/atom
**Crystal system**: cubic
**Final energy**: -5.282 eV/atom
**Energy of formation from the pure elements**: -0.4279 eV per atom

12.
Material: Tm5NiBi
Method: DFT, PBE
State: relaxed

abc: 6.4667 6.4667 11.1632
angles: 105.71 105.71 61.83
Atoms (fractional coordinates):
Tm1 0.0414 0.3886 0.6362
Tm2 0.0409 0.9591 0.7500
Tm3 0.2079 0.5496 0.9588
Tm4 0.3886 0.0414 0.1362
Tm5 0.4504 0.7921 0.5412
Tm6 0.5496 0.2079 0.4588
Tm7 0.6114 0.9586 0.8638
Tm8 0.7921 0.4504 0.0412
Tm9 0.9591 0.0409 0.2500
Tm10 0.9586 0.6114 0.3638
Ni1 0.0000 0.0000 0.0000
Ni2 0.0000 0.0000 0.5000
Bi1 0.4574 0.5426 0.2500
Bi2 0.5426 0.4574 0.7500

Properties
**DOS at the Fermi energy**: 1.094 states/eV/atom
**Crystal system**: monoclinic
**Final energy**: -4.779 eV/atom
**Energy of formation from the pure elements**: -0.2052 eV per atom